Record 1
The following is a DFT calculation (PBE) of a relaxed structure of RbLiIn2O4.

Lattice parameters (Å, degrees): 3.385 5.908 11.470 90.00 90.00 106.65
Positions (direct):
Rb: 0.100 0.200 0.750
Rb: 0.900 0.800 0.250
Li: 0.823 0.646 0.750
Li: 0.177 0.354 0.250
In: 0.364 0.729 0.558
In: 0.636 0.271 0.058
In: 0.636 0.271 0.442
In: 0.364 0.729 0.942
O: 0.254 0.507 0.100
O: 0.746 0.493 0.600
O: 0.746 0.493 0.900
O: 0.254 0.507 0.400
O: 0.000 0.000 0.500
O: 0.000 0.000 0.000
O: 0.403 0.807 0.750
O: 0.597 0.193 0.250

Computed properties:
energy = -81.3 eV/cell
formation energy from raw total energies = -1557 meV per atom

=====

Record 2
The following is a DFT calculation (PBE) of a relaxed structure of Li2InReO6.

Lattice parameters (Å, degrees): 7.278 7.553 7.553 87.81 65.69 65.69
Positions (direct):
Li: 0.415 0.696 0.602
Li: 0.085 0.398 0.304
Li: 0.585 0.304 0.398
Li: 0.915 0.602 0.696
In: 0.250 0.752 0.248
In: 0.750 0.248 0.752
Re: 0.250 0.165 0.835
Re: 0.750 0.835 0.165
O: 0.235 0.943 0.804
O: 0.265 0.196 0.057
O: 0.765 0.057 0.196
O: 0.735 0.804 0.943
O: 0.510 0.834 0.358
O: 0.990 0.642 0.166
O: 0.490 0.166 0.642
O: 0.010 0.358 0.834
O: 0.196 0.625 0.544
O: 0.304 0.456 0.375
O: 0.804 0.375 0.456
O: 0.696 0.544 0.625

Computed properties:
energy = -125.8 eV/cell
formation energy from raw total energies = -1414 meV per atom

=====

Record 3
The following is a DFT calculation (PBE) of a relaxed structure of Li2In2RhO6.

Lattice parameters (Å, degrees): 5.579 5.579 5.173 97.08 97.08 120.37
Each line ends with the local moment (μB).
Positions (direct):
Li: 0.867 0.133 0.000  0.00
Li: 0.133 0.867 0.000  0.00
In: 0.337 0.663 0.500  0.00
In: 0.663 0.337 0.500  0.00
Rh: 0.000 0.000 0.500  0.65
O: 0.750 0.750 0.725  0.04
O: 0.041 0.356 0.717  0.06
O: 0.250 0.250 0.275  0.04
O: 0.356 0.041 0.717  0.06
O: 0.959 0.644 0.283  0.06
O: 0.644 0.959 0.283  0.06

Computed properties:
energy = -61.8 eV/cell
formation energy from raw total energies = -1400 meV per atom

=====

Record 4
The following is a DFT calculation (PBE) of a relaxed structure of Li4InRh3O8.

Lattice parameters (Å, degrees): 6.220 6.039 6.220 120.98 120.00 90.00
Positions (direct):
Li: 0.500 0.000 0.000
Li: 0.500 0.000 0.500
Li: 0.000 0.000 0.000
Li: 0.000 0.000 0.500
In: 0.000 0.500 0.000
Rh: 0.500 0.500 0.000
Rh: 0.500 0.500 0.500
Rh: 0.000 0.500 0.500
O: 0.252 0.737 0.985
O: 0.252 0.737 0.504
O: 0.260 0.279 0.519
O: 0.733 0.737 0.985
O: 0.267 0.263 0.015
O: 0.740 0.721 0.481
O: 0.748 0.263 0.496
O: 0.748 0.263 0.015

Computed properties:
energy = -93.2 eV/cell
formation energy from raw total energies = -1321 meV per atom

=====

Record 5
The following is a DFT calculation (PBE) of a relaxed structure of Li3InRh3O8.

Lattice parameters (Å, degrees): 6.212 6.212 6.067 120.80 90.00 120.00
Each line ends with the local moment (μB).
Positions (direct):
Li: 0.000 0.000 0.000  0.00
Li: 0.000 0.500 0.000  0.00
Li: 0.500 0.500 0.000  0.00
In: 0.000 0.000 0.500  0.01
Rh: 0.500 0.000 0.500  0.15
Rh: 0.500 0.500 0.500  0.15
Rh: 0.000 0.500 0.500  0.15
O: 0.259 0.518 0.278  0.00
O: 0.741 0.482 0.722  0.00
O: 0.751 0.503 0.275  0.03
O: 0.249 0.497 0.725  0.03
O: 0.751 0.023 0.275  0.03
O: 0.249 0.977 0.725  0.03
O: 0.272 0.023 0.275  0.03
O: 0.728 0.977 0.725  0.03

Computed properties:
energy = -87.6 eV/cell
formation energy from raw total energies = -1160 meV per atom

=====

Record 6
The following is a DFT calculation (PBE) of a relaxed structure of LiIn2RuO6.

Lattice parameters (Å, degrees): 5.397 5.397 5.768 62.10 62.10 60.00
Each line ends with the local moment (μB).
Positions (direct):
Li: 0.791 0.791 0.627  0.01
In: 0.526 0.526 0.422  0.04
In: 0.021 0.021 0.936  0.03
Ru: 0.322 0.322 0.033  1.96
O: 0.582 0.225 0.235  0.17
O: 0.225 0.957 0.235  0.17
O: 0.957 0.582 0.235  0.17
O: 0.421 0.694 0.763  0.07
O: 0.694 0.122 0.763  0.07
O: 0.122 0.421 0.763  0.07

Computed properties:
energy = -60.0 eV/cell
formation energy from raw total energies = -1355 meV per atom